No. 1
Compound: CsBiRh3
Source: Alexandria
Functional: PBE
Structure: optimized geometry

Cell: 4.9926 4.9926 4.9926 Å, 90.00 90.00 90.00°
Element x y z (fractional)
Rh (0.5000, 0.0000, 0.0000)
Rh (0.0000, 0.5000, 0.0000)
Rh (0.0000, 0.0000, 0.5000)
Cs (0.0000, 0.0000, 0.0000)
Bi (0.5000, 0.5000, 0.5000)

Properties
Formation energy from the elements = 1750 meV per atom
SG = Pm-3m (221)
Energy above the lowest structure with this stoichiometry = 858 meV per atom

---

No. 2
Compound: SmTmZn
Source: Alexandria
Functional: PBE
Structure: optimized geometry

Cell: 3.5848 3.5848 6.6125 Å, 105.73 105.73 90.00°
Element x y z (fractional)
Zn (0.6739, 0.6739, 0.3479)
Tm (0.3073, 0.3073, 0.6146)
Sm (0.0187, 0.0187, 0.0375)

Properties
Formation energy from the elements = -206 meV per atom
SG = I4mm (107)
Energy above the lowest structure with this stoichiometry = 0 meV per atom

---

No. 3
Compound: MgW2Br
Source: Alexandria
Functional: PBE
Structure: optimized geometry

Cell: 3.2511 3.2511 8.1714 Å, 90.00 90.00 90.00°
Element x y z (fractional)
Br (0.0000, 0.0000, 0.5687)
W (0.0000, 0.0000, 0.0059)
W (0.5000, 0.5000, 0.1569)
Mg (0.5000, 0.5000, 0.7685)

Properties
SG = P4mm (99)
Energy above the lowest structure with this stoichiometry = 136 meV per atom
ΔE_f (raw) = 0.42 eV/atom

---

No. 4
Compound: LuCo6
Source: Alexandria
Functional: PBE
Structure: optimized geometry

Cell: 5.1937 5.1937 5.1937 Å, 109.47 109.47 109.47°
Element x y z (fractional)
Co (0.5000, 0.7500, 0.2500)
Co (0.7500, 0.5000, 0.2500)
Co (0.2500, 0.7500, 0.5000)
Co (0.7500, 0.2500, 0.5000)
Co (0.5000, 0.2500, 0.7500)
Co (0.2500, 0.5000, 0.7500)
Lu (0.0000, 0.0000, 0.0000)

Properties
Formation energy from the elements = 552 meV per atom
SG = Im-3m (229)

---

No. 5
Compound: TcSbAs2
Source: Alexandria
Functional: PBE
Structure: optimized geometry

Cell: 3.2929 4.6440 5.9248 Å, 54.85 90.00 90.00°
Element x y z (fractional)
As (0.0000, 0.0000, 0.0000)
As (0.5000, 0.5000, 0.0000)
Sb (0.5000, 0.5000, 0.5000)
Tc (0.0000, 0.0000, 0.5000)

Properties
SG = P2/m (10)
ΔE_f (raw) = 0.48 eV/atom

---

No. 6
Compound: DyTm2Au2
Source: Alexandria
Functional: PBE
Structure: optimized geometry

Cell: 3.7672 8.0915 8.0915 Å, 90.00 90.00 90.00°
Element x y z (fractional)
Tm (0.5000, 0.6611, 0.8389)
Tm (0.5000, 0.3389, 0.1611)
Tm (0.5000, 0.8389, 0.3389)
Tm (0.5000, 0.1611, 0.6611)
Au (0.0000, 0.1342, 0.3658)
Au (0.0000, 0.3658, 0.8658)
Au (0.0000, 0.6342, 0.1342)
Au (0.0000, 0.8658, 0.6342)
Dy (0.0000, 0.0000, 0.0000)
Dy (0.0000, 0.5000, 0.5000)

Properties
Formation energy from the elements = -717 meV per atom
SG = P4/mbm (127)